[1]
Computed, not measured: crystalline CdHg2 at its relaxed geometry at the PBE level of DFT.

abc: 9.6154 9.6154 9.6154
angles: 60.00 60.00 60.00
Closest atoms and distances in Å follow each position.
Fractional positions:
1 Cd 0.1497 0.7834 0.7834  6 Hg 3.01-3.06
2 Cd 0.2166 0.2166 0.2166  6 Hg 3.01-3.06
3 Cd 0.2166 0.2166 0.8503  6 Hg 3.01-3.06
4 Cd 0.2166 0.8503 0.2166  6 Hg 3.01-3.06
5 Cd 0.7834 0.1497 0.7834  6 Hg 3.01-3.06
6 Cd 0.7834 0.7834 0.1497  6 Hg 3.01-3.06
7 Cd 0.7834 0.7834 0.7834  6 Hg 3.01-3.06
8 Cd 0.8503 0.2166 0.2166  6 Hg 3.01-3.06
9 Hg 0.0000 0.0000 0.0000  6 Cd 3.01
10 Hg 0.0000 0.0000 0.5000  6 Cd 3.01
11 Hg 0.0000 0.5000 0.0000  6 Cd 3.01
12 Hg 0.1960 0.1960 0.5540  2 Cd 3.06
13 Hg 0.1960 0.5540 0.1960  2 Cd 3.06
14 Hg 0.1960 0.5540 0.5540  2 Cd 3.06
15 Hg 0.4460 0.4460 0.8040  2 Cd 3.06
16 Hg 0.4460 0.8040 0.4460  2 Cd 3.06
17 Hg 0.4460 0.8040 0.8040  2 Cd 3.06
18 Hg 0.5000 0.0000 0.0000  6 Cd 3.01
19 Hg 0.5540 0.1960 0.1960  2 Cd 3.06
20 Hg 0.5540 0.1960 0.5540  2 Cd 3.06
21 Hg 0.5540 0.5540 0.1960  2 Cd 3.06
22 Hg 0.8040 0.4460 0.4460  2 Cd 3.06
23 Hg 0.8040 0.4460 0.8040  2 Cd 3.06
24 Hg 0.8040 0.8040 0.4460  2 Cd 3.06

Results
Spin magnetization in μB per formula unit: 0.00
E_form in eV/atom: 0.028
Symmetry: Fd-3m, No. 227

[2]
Computed, not measured: crystalline GdHoCo at its relaxed geometry at the PBE level of DFT.

abc: 4.6921 4.6921 4.6921
angles: 60.00 60.00 60.00
Closest atoms and distances in Å follow each position.
Fractional positions:
1 Gd 0.0000 0.0000 0.0000  4 Co 2.87
2 Ho 0.5000 0.5000 0.5000  4 Co 2.87
3 Co 0.7500 0.7500 0.7500  4 Gd 2.87, 4 Ho 2.87

Results
Spin magnetization in μB per formula unit: 7.39
E_form in eV/atom: -0.055
Symmetry: F-43m, No. 216

[3]
Computed, not measured: crystalline MnBeSiPd at its relaxed geometry at the PBE level of DFT.

abc: 4.0021 4.0021 4.0021
angles: 60.00 60.00 60.00
Closest atoms and distances in Å follow each position.
Fractional positions:
1 Mn 0.0000 0.0000 0.0000  4 Be 2.45, 4 Si 2.45
2 Be 0.7500 0.7500 0.7500  4 Mn 2.45, 4 Pd 2.45
3 Si 0.2500 0.2500 0.2500  4 Mn 2.45, 4 Pd 2.45
4 Pd 0.5000 0.5000 0.5000  4 Be 2.45, 4 Si 2.45

Results
Spin magnetization in μB per formula unit: 0.38
Energy relative to the elements, uncorrected in eV/atom: -0.32
Symmetry: F-43m, No. 216

[4]
Computed, not measured: crystalline Cd5Se at its relaxed geometry at the PBE level of DFT.

abc: 6.4407 6.4407 8.6352
angles: 130.85 130.85 34.45
Closest atoms and distances in Å follow each position.
Fractional positions:
1 Cd 0.0000 0.0000 0.0000  6 Cd 2.99-3.12
2 Cd 0.2453 0.2453 0.8103  1 Se 2.81, 5 Cd 2.94-3.02
3 Cd 0.3201 0.3201 0.5521  2 Se 2.80, 1 Cd 2.94
4 Cd 0.5445 0.5445 0.3263  2 Se 2.99, 5 Cd 3.12-3.31
5 Cd 0.6977 0.6977 0.0220  1 Se 2.78, 4 Cd 2.96-2.99
6 Se 0.9358 0.9358 0.4611  6 Cd 2.78-2.99

Results
Spin magnetization in μB per formula unit: 0.00
Energy relative to the elements, uncorrected in eV/atom: -0.07
Symmetry: Cm, No. 8